64
Lattice="9.643 0.000 0.000 0.000 10.445 0.000 0.000 0.000 11.476" Properties=species:S:1:pos:R:3 comment="PBEsol Sr3MoN4, relaxed" energy_ev_per_atom=-7.479 n_ef_per_ev_atom=0.00 pbc="T T T"
Sr 0.255 9.126 6.922
Sr 5.076 1.318 10.291
Sr 4.567 3.904 4.553
Sr 9.388 6.541 1.184
Sr 9.388 1.318 4.553
Sr 4.567 9.126 1.184
Sr 5.076 6.541 6.922
Sr 0.255 3.904 10.291
Sr 3.524 10.168 7.408
Sr 8.345 0.277 9.806
Sr 1.298 4.945 4.068
Sr 6.119 5.500 1.670
Sr 6.119 0.277 4.068
Sr 1.298 10.168 1.670
Sr 8.345 5.500 7.408
Sr 3.524 4.945 9.806
Sr 6.682 7.429 10.150
Sr 1.861 8.238 10.150
Sr 7.782 7.429 4.412
Sr 2.961 3.015 1.326
Sr 2.961 8.238 4.412
Sr 7.782 2.207 1.326
Sr 1.861 3.015 7.064
Sr 6.682 2.207 7.064
Mo 6.650 9.396 7.022
Mo 1.829 1.048 10.191
Mo 7.814 4.174 4.454
Mo 2.992 6.271 1.284
Mo 2.992 1.048 4.454
Mo 7.814 9.396 1.284
Mo 1.829 6.271 7.022
Mo 6.650 4.174 10.191
N 5.361 8.799 5.814
N 0.539 1.645 11.399
N 9.103 3.577 5.662
N 4.282 6.868 0.076
N 4.282 1.645 5.662
N 9.103 8.799 0.076
N 0.539 6.868 5.814
N 5.361 3.577 11.399
N 5.893 0.049 8.304
N 1.072 10.396 8.909
N 8.571 5.271 3.171
N 3.749 5.173 2.567
N 3.749 10.396 3.171
N 8.571 0.049 2.567
N 1.072 5.173 8.304
N 7.835 5.267 11.130
N 7.564 7.962 7.782
N 2.743 2.483 9.432
N 6.900 2.740 3.694
N 2.079 7.705 2.044
N 2.079 2.483 3.694
N 6.900 7.962 2.044
N 2.743 7.705 7.782
N 7.564 2.740 9.432
N 7.835 0.045 6.083
N 3.014 10.400 11.130
N 6.629 5.267 5.393
N 1.807 5.177 0.345
N 1.807 10.400 5.393
N 6.629 0.045 0.345
N 3.014 5.177 6.083
N 5.893 5.271 8.909